(1)
# Cd2In8Ag3

A relaxed structure of Cd2In8Ag3 (PBE, Alexandria via LeMat-Bulk).

Computed properties:
- symmetry = P2/m

Cell: 8.5591 4.5570 9.1749 Å, 90.00 114.37 90.00°
Closest atoms and distances in Å follow each position.
Positions (direct):
Cd1 0.0177 0.0000 0.3353  7 In 3.02-3.13, 1 Cd 3.16
Cd2 0.9823 0.0000 0.6647  7 In 3.02-3.13, 1 Cd 3.16
In1 0.1972 0.0000 0.0991  3 Ag 3.02-3.08, 3 In 3.10-3.29, 1 Cd 3.13
In2 0.2110 0.5000 0.8462  4 Ag 2.95-3.23, 2 Cd 3.02, 2 In 3.29
In3 0.2855 0.5000 0.4012  1 Ag 2.85, 2 Cd 3.11, 2 In 3.12
In4 0.3374 0.0000 0.6494  3 Ag 2.91-2.93, 2 Cd 3.05-3.10, 2 In 3.12
In5 0.6626 0.0000 0.3506  3 Ag 2.91-2.93, 2 Cd 3.05-3.10, 2 In 3.12
In6 0.7145 0.5000 0.5988  1 Ag 2.85, 2 Cd 3.11, 2 In 3.12
In7 0.7890 0.5000 0.1538  4 Ag 2.95-3.23, 2 Cd 3.02, 2 In 3.29
In8 0.8028 0.0000 0.9009  3 Ag 3.02-3.08, 3 In 3.10-3.29, 1 Cd 3.13
Ag1 0.4503 0.5000 0.1870  7 In 2.85-3.04, 2 Ag 2.99
Ag2 0.5000 0.0000 0.0000  8 In 2.93-3.23, 4 Ag 2.99
Ag3 0.5497 0.5000 0.8130  7 In 2.85-3.04, 2 Ag 2.99

***

(2)
# Cd4InAg

A relaxed structure of Cd4InAg (PBE, Alexandria via LeMat-Bulk).

Computed properties:
- excess energy over the best structure of this formula in the dataset (eV per atom) = 0.101
- symmetry = F-43m

Cell: 5.8194 5.8194 5.8194 Å, 60.00 60.00 60.00°
Closest atoms and distances in Å follow each position.
Positions (direct):
Cd1 0.1255 0.1255 0.1255  6 Cd 2.90-2.92
Cd2 0.1255 0.1255 0.6236  6 Cd 2.90-2.92
Cd3 0.1255 0.6236 0.1255  6 Cd 2.90-2.92
Cd4 0.6236 0.1255 0.1255  6 Cd 2.90-2.92
In1 0.7500 0.7500 0.7500  12 Cd 3.41, 4 Ag 3.56
Ag1 0.5000 0.5000 0.5000  12 Cd 3.41, 4 In 3.56

***

(3)
# Cd4In2Ag

A relaxed structure of Cd4In2Ag (PBE, Alexandria via LeMat-Bulk).

Computed properties:
- symmetry = R-3m

Cell: 17.7404 17.7404 17.7404 Å, 10.65 10.65 10.65°
Closest atoms and distances in Å follow each position.
Positions (direct):
Cd1 0.1439 0.1439 0.1439  9 Cd 3.07-3.29, 3 In 3.16
Cd2 0.2918 0.2918 0.2918  1 In 2.89, 3 Ag 2.91
Cd3 0.7082 0.7082 0.7082  1 In 2.89, 3 Ag 2.91
Cd4 0.8561 0.8561 0.8561  9 Cd 3.07-3.29, 3 In 3.16
In1 0.2371 0.2371 0.2371  4 Cd 2.89-3.16
In2 0.7629 0.7629 0.7629  4 Cd 2.89-3.16
Ag1 0.0000 0.0000 0.0000  6 Cd 2.91

***

(4)
# Cd2InAg5

A relaxed structure of Cd2InAg5 (PBE, Alexandria via LeMat-Bulk).

Computed properties:
- excess energy over the best structure of this formula in the dataset (eV per atom) = 0.002
- symmetry = Cm

Cell: 5.7310 5.7310 5.9981 Å, 105.58 105.58 115.36°
Closest atoms and distances in Å follow each position.
Positions (direct):
Cd1 0.2438 0.7562 0.0000  9 Ag 2.94-3.06, 2 Cd 3.07, 1 In 3.12
Cd2 0.7562 0.2438 0.0000  9 Ag 2.94-3.06, 2 Cd 3.07, 1 In 3.12
In1 0.3161 0.3161 0.6365  10 Ag 2.96-3.07, 2 Cd 3.12
Ag1 0.2465 0.7461 0.4929  2 In 2.96, 4 Cd 2.97-3.06, 6 Ag 2.97-3.06
Ag2 0.3300 0.3300 0.1492  4 Cd 2.94-3.00, 2 In 2.97-3.03, 6 Ag 2.98-3.15
Ag3 0.7461 0.2465 0.4929  2 In 2.96, 4 Cd 2.97-3.06, 6 Ag 2.97-3.06
Ag4 0.8161 0.8161 0.1503  4 Cd 2.95-3.00, 6 Ag 2.97-3.15, 2 In 2.99-3.07
Ag5 0.8217 0.8217 0.6478  8 Ag 2.97-3.05, 2 Cd 2.99, 2 In 3.06

***

(5)
# CdIn5Ag8

A relaxed structure of CdIn5Ag8 (PBE, Alexandria via LeMat-Bulk).

Computed properties:
- symmetry = I-4

Cell: 7.3245 7.3245 7.3245 Å, 108.62 108.62 111.18°
Closest atoms and distances in Å follow each position.
Positions (direct):
Cd1 0.0000 0.0000 0.0000  8 Ag 2.87-3.00
In1 0.2419 0.6264 0.1261  8 Ag 2.88-2.98
In2 0.3736 0.4997 0.6155  8 Ag 2.88-2.98
In3 0.5003 0.1158 0.8739  8 Ag 2.88-2.98
In4 0.7500 0.2500 0.5000  8 Ag 2.83-3.04
In5 0.8842 0.7581 0.3845  8 Ag 2.88-2.98
Ag1 0.1230 0.6963 0.7502  5 In 2.83-2.97, 1 Cd 3.00, 3 Ag 3.13-3.15
Ag2 0.1368 0.2096 0.7590  1 Cd 2.87, 5 In 2.90-3.04, 3 Ag 3.04-3.14
Ag3 0.3037 0.0539 0.4267  5 In 2.83-2.97, 1 Cd 3.00, 3 Ag 3.13-3.15
Ag4 0.4506 0.3778 0.2410  1 Cd 2.87, 5 In 2.90-3.04, 3 Ag 3.04-3.14
Ag5 0.6222 0.8632 0.0729  1 Cd 2.87, 5 In 2.90-3.04, 3 Ag 3.04-3.14
Ag6 0.6271 0.8770 0.5733  5 In 2.83-2.97, 1 Cd 3.00, 3 Ag 3.13-3.15
Ag7 0.7904 0.5494 0.9271  1 Cd 2.87, 5 In 2.90-3.04, 3 Ag 3.04-3.14
Ag8 0.9461 0.3729 0.2498  5 In 2.83-2.97, 1 Cd 3.00, 3 Ag 3.13-3.15

***

(6)
# Cd4In5Ag

A relaxed structure of Cd4In5Ag (PBE, Alexandria via LeMat-Bulk).

Computed properties:
- symmetry = P4/mmm

Cell: 3.3362 3.3362 21.7329 Å, 90.00 90.00 90.00°
Closest atoms and distances in Å follow each position.
Positions (direct):
Cd1 0.0000 0.0000 0.1017  8 In 3.23-3.26, 4 Cd 3.34
Cd2 0.0000 0.0000 0.3085  8 In 3.26, 4 Cd 3.34
Cd3 0.0000 0.0000 0.6915  8 In 3.26, 4 Cd 3.34
Cd4 0.0000 0.0000 0.8983  8 In 3.23-3.26, 4 Cd 3.34
In1 0.5000 0.5000 0.0000  8 Cd 3.23, 4 In 3.34
In2 0.5000 0.5000 0.2051  8 Cd 3.26, 4 In 3.34
In3 0.5000 0.5000 0.4121  4 Ag 3.04, 4 Cd 3.26, 4 In 3.34
In4 0.5000 0.5000 0.5879  4 Ag 3.04, 4 Cd 3.26, 4 In 3.34
In5 0.5000 0.5000 0.7949  8 Cd 3.26, 4 In 3.34
Ag1 0.0000 0.0000 0.5000  8 In 3.04, 4 Ag 3.34

***

Asked for N(E_F) across the records above, the calculation gives 0.30 0.23 0.38 0.26 0.56 0.35 states/eV per atom in order.
Asked for DFT formation energy across the records above, the calculation gives 0.034 0.109 0.042 -0.039 0.082 0.037 eV/atom in order.
Asked for volume across the records above, the calculation gives 326.0 139.4 165.5 153.9 302.3 241.9 Å³ per cell in order.